## Er4AlHg2 (PBE)

Data for a relaxed Er4AlHg2 crystal.

The structure in POSCAR format:
```
Er4AlHg2
1.0
-4.5378 4.5378 4.5178
4.5378 -4.5378 4.5178
4.5378 4.5378 -4.5178
Er Al Hg
8 2 4
direct
0.1173 0.2259 0.7489 Er
0.1184 0.7270 0.7511 Er
0.2730 0.0241 0.3914 Er
0.4770 0.3684 0.2511 Er
0.6316 0.8827 0.1086 Er
0.6327 0.8816 0.6086 Er
0.7741 0.5230 0.8914 Er
0.9759 0.3673 0.2489 Er
0.0000 0.0000 0.0000 Al
0.7500 0.2500 0.5000 Al
0.2570 0.6250 0.1320 Hg
0.3750 0.5070 0.6320 Hg
0.4930 0.1250 0.8680 Hg
0.8750 0.7430 0.3680 Hg
```

energy	-3.495	eV per atom
V	26.6	Å³/atom
DFT formation energy	-25.8	kJ per mole of atoms

***

## Er4AlHg2 (PBE)

Data for a relaxed Er4AlHg2 crystal.

The structure in POSCAR format:
```
Er4AlHg2
1.0
2.5551 1.4752 8.2998
-2.5551 1.4752 8.2998
0.0000 -2.9503 8.2998
Er Al Hg
4 1 2
direct
0.1217 0.1217 0.1217 Er
0.3737 0.3737 0.3737 Er
0.6263 0.6263 0.6263 Er
0.8783 0.8783 0.8783 Er
0.5000 0.5000 0.5000 Al
0.2491 0.2491 0.2491 Hg
0.7509 0.7509 0.7509 Hg
```

energy	-3.502	eV per atom
V	26.8	Å³/atom
DFT formation energy	-26.4	kJ per mole of atoms

***

Copy entry 1 word for word.
## Er4AlHg2 (PBE)

Data for a relaxed Er4AlHg2 crystal.

The structure in POSCAR format:
```
Er4AlHg2
1.0
-4.5378 4.5378 4.5178
4.5378 -4.5378 4.5178
4.5378 4.5378 -4.5178
Er Al Hg
8 2 4
direct
0.1173 0.2259 0.7489 Er
0.1184 0.7270 0.7511 Er
0.2730 0.0241 0.3914 Er
0.4770 0.3684 0.2511 Er
0.6316 0.8827 0.1086 Er
0.6327 0.8816 0.6086 Er
0.7741 0.5230 0.8914 Er
0.9759 0.3673 0.2489 Er
0.0000 0.0000 0.0000 Al
0.7500 0.2500 0.5000 Al
0.2570 0.6250 0.1320 Hg
0.3750 0.5070 0.6320 Hg
0.4930 0.1250 0.8680 Hg
0.8750 0.7430 0.3680 Hg
```

energy	-3.495	eV per atom
V	26.6	Å³/atom
DFT formation energy	-25.8	kJ per mole of atoms